(1)
This record from Alexandria via LeMat-Bulk describes Sc2GaHgGe after structural relaxation. The functional is GGA-PBEsol.

- ΔE_f: 0.169 eV/atom

Cell lengths 5.015, 5.015, 4.761 Å; angles 90.00, 90.00, 90.00 degrees
Space group P4/mmm (No. 123)
One atom of each set of equivalent atoms:
Sc 0.000 0.500 0.000 x2
Ga 0.000 0.000 0.000 x1
Hg 0.000 0.000 0.500 x1
Ge 0.500 0.500 0.500 x1



(2)
This record from Alexandria via LeMat-Bulk describes FeSbTe after structural relaxation. The functional is GGA-PBEsol.

- Formation energy from raw total energies: -0.15 eV per atom

Cell lengths 5.451, 3.503, 6.298 Å; angles 90.00, 91.62, 90.00 degrees
Space group P2/m (No. 10)
One atom of each set of equivalent atoms:
Fe 0.000 0.000 0.000 x1
Fe 0.500 0.500 0.500 x1
Sb 0.203 0.000 0.645 x2
Te 0.286 0.500 0.146 x2



(3)
This record from Alexandria via LeMat-Bulk describes Ir2OsRu after structural relaxation. The functional is GGA-PBEsol.

- Polymorph energy (0 for the lowest one): 0.002 eV per atom
- ΔE_f: 0.006 eV/atom

Cell lengths 3.802, 3.802, 7.648 Å; angles 90.00, 90.00, 90.00 degrees
Space group I4/mmm (No. 139)
One atom of each set of equivalent atoms:
Ir 0.000 0.500 0.250 x4
Os 0.000 0.000 0.000 x2
Ru 0.000 0.000 0.500 x2



| no. | magnetic moment (μB per formula unit) | Fermi-level density of states (states/eV per atom) |
| --- | --- | --- |
| 1 | 0.0 | 0.7293 |
| 2 | 0.2 | 0.5958 |
| 3 | 0.0 | 0.7758 |